Sc2InSb: optimized geometry, PBE.

Calculated values
Its uncorrected formation energy is -195 kJ/mol of formula units. For the energy above the most stable polymorph in this dataset, the calculation gives 95.4 meV per atom.

a = 4.665 Å, b = 4.665 Å, c = 4.198 Å
α = 90.00°, β = 90.00°, γ = 90.00°
Space group P4/mmm (No. 123)
Inequivalent atoms, fractional coordinates:
Sc  0.000  0.500  0.000 (multiplicity 2)
In  0.000  0.000  0.500 (multiplicity 1)
Sb  0.500  0.500  0.500 (multiplicity 1)


Ce2NdPt: optimized geometry, PBE.

Calculated values
The formation energy comes out at -218 meV per atom. For the energy above the most stable polymorph in this dataset, the calculation gives 316.3 meV per atom.

a = 3.7440 Å, b = 3.7440 Å, c = 30.7630 Å
α = 90.00°, β = 90.00°, γ = 120.00°
Space group R-3m (No. 166, hexagonal axes)
Inequivalent atoms, fractional coordinates:
Ce  0.0000  0.0000  0.1056 (multiplicity 6)
Nd  0.0000  0.0000  0.0000 (multiplicity 3)
Pt  0.0000  0.0000  0.5000 (multiplicity 3)


PmErAg2S4: optimized geometry, PBE.

Calculated values
Its uncorrected formation energy is -976 kJ/mol of formula units.

a = 6.539 Å, b = 4.070 Å, c = 7.039 Å
α = 90.00°, β = 110.50°, γ = 90.00°
Space group P2/m (No. 10)
Inequivalent atoms, fractional coordinates:
Pm  0.000  0.000  0.000 (multiplicity 1)
Er  0.000  0.500  0.500 (multiplicity 1)
Ag  0.500  0.000  0.500 (multiplicity 1)
Ag  0.500  0.500  0.000 (multiplicity 1)
S  0.242  0.000  0.738 (multiplicity 2)
S  0.244  0.500  0.254 (multiplicity 2)


Cu3P8S6Cl3: optimized geometry, PBE.

Calculated values
Its uncorrected formation energy is -578 kJ/mol of formula units.

a = 6.488 Å, b = 26.602 Å, c = 11.696 Å
α = 90.00°, β = 90.00°, γ = 90.00°
Space group Pnma (No. 62)
Inequivalent atoms, fractional coordinates:
Cu  0.188  0.250  0.144 (multiplicity 4)
Cu  0.243  0.001  0.352 (multiplicity 8)
P  0.091  0.179  0.054 (multiplicity 8)
P  0.131  0.570  0.946 (multiplicity 8)
P  0.136  0.070  0.933 (multiplicity 8)
P  0.166  0.606  0.122 (multiplicity 8)
S  0.070  0.630  0.836 (multiplicity 8)
S  0.113  0.682  0.087 (multiplicity 8)
S  0.180  0.630  0.487 (multiplicity 8)
Cl  0.040  0.250  0.326 (multiplicity 4)
Cl  0.110  0.507  0.669 (multiplicity 8)


Q: What is the formula in the second record?
A: Ce2NdPt